[1]
A plane-wave DFT calculation with PBE-GGA was carried out for crystalline Ca2LaAs at its relaxed geometry.

Calculated values
VASP energy: -3.96 eV/atom
energy relative to the elements: -0.5608 eV per atom
magnetization: 0.66 Bohr magnetons per cell
SG: Cm, No. 8

a b c (Å): 5.9774 5.9774 7.0092
angles (deg): 66.21 66.21 38.23
Site moments in Bohr magnetons follow the coordinates.
Fractional positions:
As1 0.2806 0.2806 0.3749  -0.01
Ca1 0.9207 0.9207 0.0322  0.02
Ca2 0.7378 0.7378 0.7117  0.02
La1 0.5609 0.5609 0.3811  0.21

***

[2]
A plane-wave DFT calculation with PBE-GGA was carried out for crystalline CaLaAs2 at its relaxed geometry.

Calculated values
VASP energy: -5.11 eV/atom
energy relative to the elements: -1.0529 eV per atom
magnetization: 0.00 Bohr magnetons per cell
SG: Cmmm, No. 65

a b c (Å): 3.7177 3.7177 7.7399
angles (deg): 90.00 90.00 101.78
Fractional positions:
As1 0.0000 0.0000 0.0002
As2 0.0000 0.0000 0.4998
Ca1 0.5000 0.5000 0.2500
La1 0.5000 0.5000 0.7500

***

[3]
A plane-wave DFT calculation with PBE-GGA was carried out for crystalline CaLaAs2 at its relaxed geometry.

Calculated values
VASP energy: -5.06 eV/atom
energy relative to the elements: -1.0038 eV per atom
magnetization: 0.00 Bohr magnetons per cell
SG: I-42d, No. 122

a b c (Å): 7.8814 7.8814 6.6514
angles (deg): 53.67 53.67 90.00
Fractional positions:
As1 0.6186 0.1250 0.2500
As2 0.1314 0.6250 0.2500
As3 0.3750 0.3814 0.7500
As4 0.8750 0.8686 0.7500
Ca1 0.5000 0.5000 0.0000
Ca2 0.2500 0.7500 0.5000
La1 0.0000 0.0000 0.0000
La2 0.7500 0.2500 0.5000

***

[4]
A plane-wave DFT calculation with PBE-GGA was carried out for crystalline CaLaAs2 at its relaxed geometry.

Calculated values
VASP energy: -5.11 eV/atom
energy relative to the elements: -1.0531 eV per atom
magnetization: 0.00 Bohr magnetons per cell
SG: Fm-3m, No. 225

a b c (Å): 5.2310 5.2310 5.2310
angles (deg): 60.00 60.00 60.00
Fractional positions:
As1 0.2500 0.2500 0.2500
As2 0.7500 0.7500 0.7500
Ca1 0.0000 0.0000 0.0000
La1 0.5000 0.5000 0.5000

***

[5]
A plane-wave DFT calculation with PBE-GGA was carried out for crystalline Ca2LaAs at its relaxed geometry.

Calculated values
VASP energy: -4.04 eV/atom
energy relative to the elements: -0.6456 eV per atom
magnetization: 1.15 Bohr magnetons per cell
SG: Amm2, No. 38

a b c (Å): 4.1145 4.4888 7.8736
angles (deg): 73.46 90.00 90.00
Site moments in Bohr magnetons follow the coordinates.
Fractional positions:
As1 0.5000 0.9768 0.6714  -0.01
Ca1 0.0000 0.8269 0.9712  0.04
Ca2 0.5000 0.1754 0.2745  0.08
La1 0.0000 0.5209 0.5829  0.23

***

[6]
A plane-wave DFT calculation with PBE-GGA was carried out for crystalline CaLa4As5 at its relaxed geometry.

Calculated values
VASP energy: -5.92 eV/atom
energy relative to the elements: -1.4255 eV per atom
magnetization: 0.00 Bohr magnetons per cell
SG: Immm, No. 71

a b c (Å): 4.3706 6.1540 11.5398
angles (deg): 105.46 100.92 90.00
Fractional positions:
Ca1 0.0000 0.0000 0.0000
La1 0.4021 0.4021 0.8043
La2 0.8014 0.8014 0.6027
La3 0.1986 0.1986 0.3973
La4 0.5979 0.5979 0.1957
As1 0.6018 0.1018 0.2036
As2 0.8010 0.3010 0.6019
As3 0.1990 0.6990 0.3981
As4 0.0000 0.5000 0.0000
As5 0.3982 0.8982 0.7964

***

no.,theoretical density (g/cm³)
1,3.48
2,5.21
3,4.84
4,5.39
5,3.50
6,5.49